Record 1
First-principles (GGA-PBE) data for a relaxed Li3Ni5 crystal, as listed in Alexandria via LeMat-Bulk.

Lattice parameters (Å, degrees): 6.720 6.720 4.534 90.00 90.00 120.00
Atoms (fractional coordinates):
Ni1 0.783 0.000 0.750
Ni2 0.000 0.217 0.250
Ni3 0.783 0.783 0.250
Ni4 0.333 0.667 0.000
Ni5 0.217 0.217 0.750
Ni6 0.667 0.333 0.000
Ni7 0.000 0.783 0.750
Ni8 0.217 0.000 0.250
Ni9 0.667 0.333 0.500
Ni10 0.333 0.667 0.500
Li1 0.000 0.597 0.250
Li2 0.403 0.000 0.750
Li3 0.000 0.403 0.750
Li4 0.403 0.403 0.250
Li5 0.597 0.000 0.250
Li6 0.597 0.597 0.750

Output
calculated volume	11.1	Å³ per atom
space-group type	P6_3/mcm (193)
calculated formation energy	0.217	eV per atom
E_tot	-4.11	eV per atom
excess energy over the best structure of this formula in the dataset	169	kJ/mol of formula units
Fermi-level density of states	20.7	states/eV/cell
calculated density	5.9	g/cm³

---

Record 2
First-principles (GGA-PBE) data for a relaxed TeMoCl2 crystal, as listed in Alexandria via LeMat-Bulk.

Lattice parameters (Å, degrees): 3.183 3.183 8.525 90.00 90.00 90.00
Atoms (fractional coordinates):
Cl1 0.500 0.500 0.323
Cl2 0.000 0.000 0.969
Mo1 0.000 0.000 0.502
Te1 0.500 0.500 0.706

Output
calculated volume	21.6	Å³ per atom
space-group type	P4mm (99)
raw formation energy	-0.03	eV/atom
E_tot	-4.45	eV per atom
excess energy over the best structure of this formula in the dataset	153	kJ/mol of formula units
Fermi-level density of states	1.7	states/eV/cell
calculated density	5.7	g/cm³

---

Record 3
First-principles (GGA-PBE) data for a relaxed Sr2Al4Pt3Au crystal, as listed in Alexandria via LeMat-Bulk.

Lattice parameters (Å, degrees): 4.514 4.514 10.076 90.00 90.00 90.00
Atoms (fractional coordinates):
Al1 0.500 0.000 0.625
Al2 0.000 0.500 0.375
Al3 0.000 0.000 0.000
Al4 0.500 0.500 0.000
Pt1 0.500 0.000 0.876
Pt2 0.000 0.000 0.500
Pt3 0.000 0.500 0.124
Sr1 0.500 0.000 0.253
Sr2 0.000 0.500 0.747
Au1 0.500 0.500 0.500

Output
calculated volume	20.5	Å³ per atom
space-group type	P-4m2 (115)
calculated formation energy	-0.909	eV per atom
E_tot	-4.88	eV per atom
Fermi-level density of states	5.3	states/eV/cell
calculated density	8.6	g/cm³

---

Record 4
First-principles (GGA-PBE) data for a relaxed MgTa2Te crystal, as listed in Alexandria via LeMat-Bulk.

Lattice parameters (Å, degrees): 5.296 5.296 5.296 133.34 133.34 68.11
Atoms (fractional coordinates):
Ta1 0.000 0.000 0.000
Ta2 0.250 0.750 0.500
Te1 0.500 0.500 0.000
Mg1 0.750 0.250 0.500

Output
calculated volume	19.3	Å³ per atom
space-group type	I-4m2 (119)
raw formation energy	0.36	eV/atom
E_tot	-6.75	eV per atom
excess energy over the best structure of this formula in the dataset	95	kJ/mol of formula units
Fermi-level density of states	4.3	states/eV/cell
calculated density	11.1	g/cm³

---

Record 5
First-principles (GGA-PBE) data for a relaxed LiCdSb2 crystal, as listed in Alexandria via LeMat-Bulk.

Lattice parameters (Å, degrees): 3.085 4.417 7.424 90.00 90.00 90.00
Atoms (fractional coordinates):
Li1 0.500 0.500 0.752
Sb1 0.500 0.500 0.309
Sb2 0.000 0.000 0.916
Cd1 0.000 0.000 0.523

Output
calculated volume	25.3	Å³ per atom
space-group type	Pmm2 (25)
raw formation energy	-0.11	eV/atom
E_tot	-2.87	eV per atom
Fermi-level density of states	1.0	states/eV/cell
calculated density	6.0	g/cm³

---

Record 6
First-principles (GGA-PBE) data for a relaxed Cs2TeH crystal, as listed in Alexandria via LeMat-Bulk.

Lattice parameters (Å, degrees): 6.295 6.295 6.295 60.00 60.00 60.00
Atoms (fractional coordinates):
Cs1 0.750 0.750 0.750
Cs2 0.250 0.250 0.250
H1 0.000 0.000 0.000
Te1 0.500 0.500 0.500

Output
calculated volume	44.1	Å³ per atom
space-group type	Fm-3m (225)
E_tot	-2.34	eV per atom
excess energy over the best structure of this formula in the dataset	61	kJ/mol of formula units
Fermi-level density of states	2.6	states/eV/cell
calculated density	3.7	g/cm³

---

Record 7
First-principles (GGA-PBE) data for a relaxed NbAgAsBr2 crystal, as listed in Alexandria via LeMat-Bulk.

Lattice parameters (Å, degrees): 5.178 5.178 5.106 90.00 90.00 90.00
Atoms (fractional coordinates):
Ag1 0.500 0.500 0.500
Nb1 0.000 0.000 0.000
Br1 0.000 0.500 0.000
Br2 0.500 0.000 0.000
As1 0.000 0.000 0.500

Output
calculated volume	27.4	Å³ per atom
space-group type	P4/mmm (123)
raw formation energy	0.13	eV/atom
E_tot	-4.05	eV per atom
excess energy over the best structure of this formula in the dataset	0	kJ/mol of formula units
Fermi-level density of states	2.5	states/eV/cell
calculated density	5.3	g/cm³

---

Record 8
First-principles (GGA-PBE) data for a relaxed Hf2CoMo crystal, as listed in Alexandria via LeMat-Bulk.

Lattice parameters (Å, degrees): 7.073 7.073 5.772 52.21 52.21 90.00
Atoms (fractional coordinates):
Hf1 0.158 0.625 0.250
Hf2 0.375 0.408 0.750
Hf3 0.875 0.842 0.750
Hf4 0.592 0.125 0.250
Co1 0.500 0.500 0.000
Co2 0.250 0.750 0.500
Mo1 0.750 0.250 0.500
Mo2 0.000 0.000 0.000

Output
calculated volume	18.0	Å³ per atom
space-group type	I-42d (122)
calculated formation energy	0.339	eV per atom
E_tot	-9.12	eV per atom
Fermi-level density of states	10.8	states/eV/cell
calculated density	11.8	g/cm³